No. 1
Gd2PuTc | PBE | relaxed

Properties
Density ... 10.58 Mg/m³
Final energy ... -13.104 eV per atom
SG ... P4/mmm, No. 123

a b c (Å): 3.455 3.455 8.635
angles (deg): 90.00 90.00 90.00
Sites, in units of the cell vectors:
Gd 0.000 0.000 0.193
Gd 0.000 0.000 0.807
Pu 0.500 0.500 0.500
Tc 0.500 0.500 0.000

---

No. 2
Y5HS4 | PBE | relaxed

Properties
Density ... 4.68 Mg/m³
Final energy ... -6.860 eV per atom
SG ... R-3m, No. 166

a b c (Å): 16.095 16.095 16.095
angles (deg): 13.70 13.70 13.70
Sites, in units of the cell vectors:
Y 0.000 0.000 0.000
Y 0.196 0.196 0.196
Y 0.403 0.403 0.403
Y 0.597 0.597 0.597
Y 0.804 0.804 0.804
H 0.500 0.500 0.500
S 0.103 0.103 0.103
S 0.299 0.299 0.299
S 0.701 0.701 0.701
S 0.897 0.897 0.897

---

No. 3
Hf6Ga3Cu | PBE | relaxed

Properties
Density ... 11.12 Mg/m³
Final energy ... -7.426 eV per atom
SG ... P2_1/c, No. 14

a b c (Å): 5.579 7.646 10.889
angles (deg): 90.00 120.22 90.00
Sites, in units of the cell vectors:
Hf 0.046 0.170 0.440
Hf 0.046 0.330 0.940
Hf 0.340 0.677 0.440
Hf 0.340 0.823 0.940
Hf 0.424 0.044 0.254
Hf 0.424 0.456 0.754
Hf 0.576 0.544 0.246
Hf 0.576 0.956 0.746
Hf 0.660 0.177 0.060
Hf 0.660 0.323 0.560
Hf 0.954 0.670 0.060
Hf 0.954 0.830 0.560
Ga 0.000 0.000 0.000
Ga 0.000 0.500 0.500
Ga 0.137 0.122 0.753
Ga 0.137 0.378 0.253
Ga 0.863 0.622 0.747
Ga 0.863 0.878 0.247
Cu 0.500 0.000 0.500
Cu 0.500 0.500 0.000

---

No. 4
Li2SiAu2 | PBE | relaxed

Properties
Density ... 9.13 Mg/m³
ΔE_f (raw) ... -0.18 eV/atom
Final energy ... -3.337 eV per atom
Energy above the lowest structure with this stoichiometry ... 0.255 eV per atom
SG ... P4/mbm, No. 127

a b c (Å): 7.525 7.525 2.801
angles (deg): 90.00 90.00 90.00
Sites, in units of the cell vectors:
Li 0.132 0.368 0.000
Li 0.368 0.868 0.000
Li 0.632 0.132 0.000
Li 0.868 0.632 0.000
Si 0.000 0.000 0.000
Si 0.500 0.500 0.000
Au 0.164 0.664 0.500
Au 0.336 0.164 0.500
Au 0.664 0.836 0.500
Au 0.836 0.336 0.500

---

No. 5
Li2YSi2 | PBE | relaxed

Properties
Density ... 2.82 Mg/m³
ΔE_f (raw) ... -0.15 eV/atom
Final energy ... -4.378 eV per atom
Energy above the lowest structure with this stoichiometry ... 0.339 eV per atom
SG ... P4/mbm, No. 127

a b c (Å): 7.425 7.425 3.396
angles (deg): 90.00 90.00 90.00
Sites, in units of the cell vectors:
Li 0.176 0.324 0.000
Li 0.324 0.824 0.000
Li 0.676 0.176 0.000
Li 0.824 0.676 0.000
Y 0.000 0.000 0.500
Y 0.500 0.500 0.500
Si 0.115 0.615 0.500
Si 0.385 0.115 0.500
Si 0.615 0.885 0.500
Si 0.885 0.385 0.500

---

No. 6
LiGdGePt | PBE | relaxed

Properties
Density ... 10.05 Mg/m³
Final energy ... -7.467 eV per atom
SG ... F-43m, No. 216

a b c (Å): 4.655 4.655 4.655
angles (deg): 60.00 60.00 60.00
Sites, in units of the cell vectors:
Li 0.000 0.000 0.000
Gd 0.250 0.250 0.250
Ge 0.750 0.750 0.750
Pt 0.500 0.500 0.500

---

No. 7
SiSb2Au | PBE | relaxed

Properties
Density ... 8.27 Mg/m³
ΔE_f (raw) ... 0.19 eV/atom
Final energy ... -4.050 eV per atom
SG ... I4/mmm, No. 139

a b c (Å): 4.966 4.966 4.966
angles (deg): 110.86 110.86 106.74
Sites, in units of the cell vectors:
Si 0.000 0.000 0.000
Sb 0.000 0.500 0.500
Sb 0.500 0.000 0.500
Au 0.500 0.500 0.000

---

No. 8
KZn3 | PBE | relaxed

Properties
Density ... 3.92 Mg/m³
Final energy ... -0.990 eV per atom
Energy above the lowest structure with this stoichiometry ... 0.270 eV per atom
SG ... Immm, No. 71

a b c (Å): 5.697 5.697 5.697
angles (deg): 139.86 121.16 73.62
Sites, in units of the cell vectors:
K 0.000 0.000 0.000
Zn 0.301 0.801 0.500
Zn 0.500 0.500 0.000
Zn 0.699 0.199 0.500

---

No. 9
Mg2TaCo | PBE | relaxed

Properties
Density ... 7.25 Mg/m³
Final energy ... -5.182 eV per atom
Energy above the lowest structure with this stoichiometry ... 0.326 eV per atom
SG ... Pmmm, No. 47

a b c (Å): 2.820 4.376 5.356
angles (deg): 90.00 90.00 90.00
Sites, in units of the cell vectors:
Mg 0.000 0.000 0.238
Mg 0.000 0.000 0.762
Ta 0.500 0.500 0.500
Co 0.500 0.500 0.000

---

No. 10
KTlAgI4 | PBE | relaxed

Properties
Density ... 4.97 Mg/m³
ΔE_f (raw) ... -0.65 eV/atom
Final energy ... -2.438 eV per atom
SG ... P2_1/m, No. 11

a b c (Å): 8.754 6.737 10.178
angles (deg): 90.00 107.14 90.00
Sites, in units of the cell vectors:
K 0.234 0.250 0.433
K 0.766 0.750 0.567
Tl 0.203 0.250 0.927
Tl 0.797 0.750 0.073
Ag 0.229 0.750 0.683
Ag 0.771 0.250 0.317
I 0.076 0.750 0.890
I 0.082 0.750 0.400
I 0.492 0.507 0.243
I 0.492 0.993 0.243
I 0.508 0.007 0.757
I 0.508 0.493 0.757
I 0.918 0.250 0.600
I 0.924 0.250 0.110

---

No. 11
Ce2YUAs4 | PBE | relaxed

Properties
Density ... 7.39 Mg/m³
Final energy ... -7.307 eV per atom
SG ... P2/m, No. 10

a b c (Å): 7.198 4.149 7.228
angles (deg): 90.00 109.27 90.00
Sites, in units of the cell vectors:
Ce 0.000 0.000 0.000
Ce 0.000 0.500 0.500
Y 0.500 0.000 0.500
U 0.500 0.500 0.000
As 0.257 0.500 0.249
As 0.258 0.000 0.754
As 0.742 0.000 0.246
As 0.743 0.500 0.751

---

No. 12
Dy2GaAg | PBE | relaxed

Properties
Density ... 8.24 Mg/m³
Final energy ... -4.011 eV per atom
SG ... R-3m, No. 166

a b c (Å): 9.168 9.168 9.168
angles (deg): 22.78 22.78 22.78
Sites, in units of the cell vectors:
Dy 0.247 0.247 0.247
Dy 0.753 0.753 0.753
Ga 0.500 0.500 0.500
Ag 0.000 0.000 0.000